# AsAu3S4

AsAu3S4 after structural relaxation (PBE, OQMD via LeMat-Bulk).

Cell: 7.5903 8.4452 6.2724 Å, 90.00 90.00 90.00°
With the nearest neighbours (Å) after each atom.
Space group Pmn2_1 (No. 31)
Symmetry-distinct sites (fractional):
As1 0.0000 0.1676 0.0000  3 S 2.32-2.33
Au1 0.0000 0.7111 0.5799  3 S 2.38-2.44
Au2 0.2029 0.7427 0.9748  3 S 2.36-2.49
S1 0.0000 0.2368 0.6428  1 As 2.32, 2 Au 2.49
S2 0.0000 0.8365 0.2302  3 Au 2.36-2.44
S3 0.1977 0.3530 0.1353  1 As 2.33, 2 Au 2.38-2.40

Values from the calculation:
- E_tot: -0.1412 Ha/atom